1.
VASP calculation (PBE) on a relaxed structure of LiNd2Pu.

Values from the calculation:
Space group: P4/mmm (123)
V in Å³/f.u.: 118
Formation energy from the elements in eV/atom: 0.156

a b c (Å): 3.514 3.514 9.538
angles (deg): 90.00 90.00 90.00
Last column: magnetic moment on the atom in μB.
Fractional coordinates of all 4 atoms:
Nd (0.000, 0.000, 0.243)  0.02
Nd (0.000, 0.000, 0.757)  0.02
Pu (0.500, 0.500, 0.500)  5.49
Li (0.500, 0.500, 0.000)  -0.02

---

2.
VASP calculation (PBE) on a relaxed structure of LiNdPuRh.

Values from the calculation:
Space group: F-43m (216)
V in Å³/f.u.: 89
Formation energy from the elements in eV/atom: -0.203

a b c (Å): 5.010 5.010 5.010
angles (deg): 60.00 60.00 60.00
Last column: magnetic moment on the atom in μB.
Fractional coordinates of all 4 atoms:
Rh (0.500, 0.500, 0.500)  -0.16
Nd (0.750, 0.750, 0.750)  0.13
Pu (0.250, 0.250, 0.250)  5.42
Li (0.000, 0.000, 0.000)  0.05

---

3.
VASP calculation (PBE) on a relaxed structure of LiNd2PuS4.

Values from the calculation:
Space group: P2/m (10)
V in Å³/f.u.: 180
Uncorrected formation energy in eV/atom: -1.831

a b c (Å): 4.015 6.929 6.902
angles (deg): 109.94 90.00 90.00
Last column: magnetic moment on the atom in μB.
Fractional coordinates of all 8 atoms:
Li (0.000, 0.000, 0.000)  0.00
Pu (0.500, 0.500, 0.000)  5.26
S (0.000, 0.748, 0.239)  -0.05
S (0.500, 0.757, 0.761)  -0.02
S (0.000, 0.252, 0.761)  -0.05
S (0.500, 0.243, 0.239)  -0.02
Nd (0.500, 0.000, 0.500)  0.04
Nd (0.000, 0.500, 0.500)  0.07

---

4.
VASP calculation (PBE) on a relaxed structure of LiNd2PuS5.

Values from the calculation:
Space group: Cmc2_1 (36)
V in Å³/f.u.: 197
Uncorrected formation energy in eV/atom: -1.777

a b c (Å): 4.008 8.511 11.883
angles (deg): 90.00 90.00 103.62
Last column: magnetic moment on the atom in μB.
Fractional coordinates of all 18 atoms:
S (0.289, 0.577, 0.660)  -0.07
S (0.499, 0.999, 0.282)  -0.01
S (0.635, 0.269, 0.499)  -0.03
S (0.953, 0.906, 0.570)  -0.05
S (0.047, 0.094, 0.070)  -0.05
S (0.692, 0.384, 0.845)  -0.07
S (0.711, 0.423, 0.160)  -0.07
S (0.365, 0.731, 0.999)  -0.03
S (0.308, 0.616, 0.345)  -0.07
S (0.501, 0.001, 0.782)  -0.01
Li (0.483, 0.966, 0.480)  0.00
Li (0.517, 0.034, 0.980)  0.00
Nd (0.109, 0.218, 0.685)  0.02
Nd (0.891, 0.782, 0.185)  0.02
Nd (0.124, 0.247, 0.299)  0.03
Nd (0.876, 0.753, 0.799)  0.03
Pu (0.801, 0.601, 0.503)  4.97
Pu (0.199, 0.399, 0.003)  4.97

---

5.
VASP calculation (PBE) on a relaxed structure of Li2NdPuS4.

Values from the calculation:
Space group: P2/m (10)
V in Å³/f.u.: 172
Uncorrected formation energy in eV/atom: -1.648

a b c (Å): 4.021 6.953 6.591
angles (deg): 110.72 90.00 90.00
Last column: magnetic moment on the atom in μB.
Fractional coordinates of all 8 atoms:
S (0.000, 0.257, 0.749)  -0.07
S (0.000, 0.743, 0.251)  -0.07
S (0.500, 0.743, 0.742)  -0.03
S (0.500, 0.257, 0.258)  -0.03
Nd (0.000, 0.000, 0.000)  0.04
Li (0.500, 0.000, 0.500)  0.00
Li (0.000, 0.500, 0.500)  0.00
Pu (0.500, 0.500, 0.000)  5.00

---

6.
VASP calculation (PBE) on a relaxed structure of Li3Nd2PuS6.

Values from the calculation:
Space group: C2/m (12)
V in Å³/f.u.: 262
Uncorrected formation energy in eV/atom: -1.683

a b c (Å): 6.995 6.995 6.601
angles (deg): 100.09 100.09 120.05
Last column: magnetic moment on the atom in μB.
Fractional coordinates of all 12 atoms:
Nd (0.333, 0.667, 0.000)  0.03
Nd (0.667, 0.333, 0.000)  0.03
S (0.243, 0.243, 0.746)  -0.03
S (0.757, 0.757, 0.254)  -0.03
S (0.412, 0.085, 0.256)  -0.03
S (0.915, 0.588, 0.744)  -0.03
S (0.085, 0.412, 0.256)  -0.03
S (0.588, 0.915, 0.744)  -0.03
Li (0.500, 0.500, 0.500)  0.00
Li (0.160, 0.840, 0.500)  0.00
Li (0.840, 0.160, 0.500)  0.00
Pu (0.000, 0.000, 0.000)  4.96

---

7.
VASP calculation (PBE) on a relaxed structure of LiNdPu2S4.

Values from the calculation:
Space group: P2/m (10)
V in Å³/f.u.: 178
Uncorrected formation energy in eV/atom: -1.744

a b c (Å): 3.996 6.879 6.886
angles (deg): 109.71 90.00 90.00
Last column: magnetic moment on the atom in μB.
Fractional coordinates of all 8 atoms:
S (0.000, 0.746, 0.252)  0.08
S (0.500, 0.258, 0.255)  0.07
S (0.000, 0.254, 0.748)  0.08
S (0.500, 0.742, 0.745)  0.07
Pu (0.500, 0.000, 0.500)  -5.35
Pu (0.000, 0.500, 0.500)  -5.31
Nd (0.000, 0.000, 0.000)  -0.12
Li (0.500, 0.500, 0.000)  0.00

---

8.
VASP calculation (PBE) on a relaxed structure of LiNd2Pu3Se6.

Values from the calculation:
Space group: C2/m (12)
V in Å³/f.u.: 307
Uncorrected formation energy in eV/atom: -1.615

a b c (Å): 4.168 8.329 9.308
angles (deg): 102.88 102.94 90.00
Last column: magnetic moment on the atom in μB.
Fractional coordinates of all 12 atoms:
Se (0.998, 0.245, 0.996)  -0.07
Se (0.336, 0.923, 0.672)  -0.06
Se (0.665, 0.589, 0.330)  -0.05
Se (0.664, 0.077, 0.328)  -0.06
Se (0.335, 0.411, 0.670)  -0.05
Se (0.002, 0.755, 0.004)  -0.07
Nd (0.835, 0.668, 0.669)  0.07
Nd (0.165, 0.332, 0.331)  0.07
Pu (0.167, 0.835, 0.334)  5.41
Pu (0.500, 0.500, 0.000)  5.40
Pu (0.833, 0.165, 0.666)  5.41
Li (0.500, 0.000, 0.000)  0.00

---

9.
VASP calculation (PBE) on a relaxed structure of LiNdPuSi.

Values from the calculation:
Space group: F-43m (216)
V in Å³/f.u.: 93
Uncorrected formation energy in eV/atom: -0.143

a b c (Å): 5.087 5.087 5.087
angles (deg): 60.00 60.00 60.00
Last column: magnetic moment on the atom in μB.
Fractional coordinates of all 4 atoms:
Pu (0.250, 0.250, 0.250)  5.44
Nd (0.750, 0.750, 0.750)  0.16
Li (0.000, 0.000, 0.000)  0.04
Si (0.500, 0.500, 0.500)  -0.06

---

10.
VASP calculation (PBE) on a relaxed structure of LiNdPuTc.

Values from the calculation:
Space group: F-43m (216)
V in Å³/f.u.: 87
Formation energy from the elements in eV/atom: 0.182

a b c (Å): 4.971 4.971 4.971
angles (deg): 60.00 60.00 60.00
Last column: magnetic moment on the atom in μB.
Fractional coordinates of all 4 atoms:
Pu (0.750, 0.750, 0.750)  5.18
Nd (0.250, 0.250, 0.250)  0.03
Tc (0.500, 0.500, 0.500)  -0.71
Li (0.000, 0.000, 0.000)  0.04

---

11.
VASP calculation (PBE) on a relaxed structure of Li2NdPuTe4.

Values from the calculation:
Space group: P2/m (10)
V in Å³/f.u.: 240
Uncorrected formation energy in eV/atom: -1.144

a b c (Å): 4.442 7.680 7.500
angles (deg): 110.05 90.00 90.00
Last column: magnetic moment on the atom in μB.
Fractional coordinates of all 8 atoms:
Te (0.000, 0.252, 0.742)  -0.08
Te (0.500, 0.743, 0.738)  -0.04
Te (0.000, 0.748, 0.258)  -0.08
Te (0.500, 0.257, 0.262)  -0.04
Pu (0.500, 0.500, 0.000)  5.19
Li (0.500, 0.000, 0.500)  -0.01
Li (0.000, 0.500, 0.500)  0.00
Nd (0.000, 0.000, 0.000)  0.02

---

12.
VASP calculation (PBE) on a relaxed structure of LiNd2PuTe4.

Values from the calculation:
Space group: P2/m (10)
V in Å³/f.u.: 249
Uncorrected formation energy in eV/atom: -1.285

a b c (Å): 4.444 7.708 7.707
angles (deg): 70.37 90.00 90.00
Last column: magnetic moment on the atom in μB.
Fractional coordinates of all 8 atoms:
Te (0.000, 0.738, 0.760)  -0.02
Te (0.500, 0.741, 0.248)  -0.04
Te (0.000, 0.262, 0.240)  -0.02
Te (0.500, 0.259, 0.752)  -0.04
Nd (0.500, 0.000, 0.500)  0.07
Nd (0.000, 0.000, 0.000)  0.04
Li (0.500, 0.500, 0.000)  0.00
Pu (0.000, 0.500, 0.500)  5.49

---

13.
VASP calculation (PBE) on a relaxed structure of LiNdPu2Te4.

Values from the calculation:
Space group: P2/m (10)
V in Å³/f.u.: 248
Uncorrected formation energy in eV/atom: -1.175

a b c (Å): 4.441 7.689 7.691
angles (deg): 109.54 90.00 90.00
Last column: magnetic moment on the atom in μB.
Fractional coordinates of all 8 atoms:
Te (0.000, 0.258, 0.755)  -0.07
Te (0.500, 0.743, 0.750)  -0.06
Te (0.500, 0.257, 0.250)  -0.06
Te (0.000, 0.742, 0.245)  -0.07
Li (0.500, 0.500, 0.000)  -0.01
Nd (0.000, 0.000, 0.000)  0.11
Pu (0.500, 0.000, 0.500)  5.50
Pu (0.000, 0.500, 0.500)  5.50

---

14.
VASP calculation (PBE) on a relaxed structure of Li3Nd2PuTe6.

Values from the calculation:
Space group: C2/m (12)
V in Å³/f.u.: 363
Uncorrected formation energy in eV/atom: -1.189

a b c (Å): 7.704 7.704 7.510
angles (deg): 99.84 99.84 119.97
Last column: magnetic moment on the atom in μB.
Fractional coordinates of all 12 atoms:
Nd (0.333, 0.667, 0.000)  0.02
Nd (0.667, 0.333, 0.000)  0.02
Pu (0.000, 0.000, 0.000)  5.18
Te (0.087, 0.417, 0.262)  -0.04
Te (0.583, 0.913, 0.738)  -0.04
Te (0.417, 0.087, 0.262)  -0.04
Te (0.243, 0.243, 0.739)  -0.04
Te (0.913, 0.583, 0.738)  -0.04
Te (0.757, 0.757, 0.261)  -0.04
Li (0.500, 0.500, 0.500)  0.00
Li (0.167, 0.833, 0.500)  0.00
Li (0.833, 0.167, 0.500)  0.00

---

15.
VASP calculation (PBE) on a relaxed structure of LiNd4Pu3Te8.

Values from the calculation:
Space group: R-3m (166)
V in Å³/f.u.: 501
Uncorrected formation energy in eV/atom: -1.282

a b c (Å): 8.904 8.923 8.904
angles (deg): 119.93 120.00 90.00
Last column: magnetic moment on the atom in μB.
Fractional coordinates of all 16 atoms:
Nd (0.000, 0.000, 0.500)  0.04
Nd (0.000, 0.000, 0.000)  0.04
Nd (0.500, 0.000, 0.000)  0.10
Nd (0.500, 0.000, 0.500)  0.04
Te (0.756, 0.259, 0.003)  -0.03
Te (0.748, 0.743, 0.496)  -0.05
Te (0.247, 0.259, 0.003)  -0.03
Te (0.753, 0.741, 0.997)  -0.03
Te (0.244, 0.741, 0.997)  -0.03
Te (0.252, 0.257, 0.504)  -0.05
Te (0.244, 0.741, 0.488)  -0.03
Te (0.756, 0.259, 0.512)  -0.03
Pu (0.500, 0.500, 0.000)  5.53
Pu (0.500, 0.500, 0.500)  5.53
Pu (0.000, 0.500, 0.500)  5.53
Li (0.000, 0.500, 0.000)  0.00

---

16.
VASP calculation (PBE) on a relaxed structure of LiNd3Pu3Te8.

Values from the calculation:
Space group: R-3m (166)
V in Å³/f.u.: 498
Uncorrected formation energy in eV/atom: -1.213

a b c (Å): 8.895 8.895 8.903
angles (deg): 119.97 90.00 120.00
Last column: magnetic moment on the atom in μB.
Fractional coordinates of all 15 atoms:
Nd (0.000, 0.500, 0.000)  0.08
Nd (0.500, 0.500, 0.000)  0.08
Nd (0.000, 0.000, 0.000)  0.08
Pu (0.500, 0.000, 0.500)  5.43
Pu (0.500, 0.500, 0.500)  5.43
Pu (0.000, 0.500, 0.500)  5.43
Te (0.748, 0.496, 0.744)  -0.05
Te (0.753, 0.505, 0.256)  -0.06
Te (0.752, 0.003, 0.255)  -0.06
Te (0.749, 0.997, 0.745)  -0.06
Te (0.251, 0.003, 0.255)  -0.06
Te (0.247, 0.495, 0.744)  -0.06
Te (0.252, 0.504, 0.256)  -0.05
Te (0.248, 0.997, 0.745)  -0.06
Li (0.000, 0.000, 0.500)  0.00

---

17.
VASP calculation (PBE) on a relaxed structure of LiNdPuZn.

Values from the calculation:
Space group: F-43m (216)
V in Å³/f.u.: 99
Formation energy from the elements in eV/atom: 0.086

a b c (Å): 5.187 5.187 5.187
angles (deg): 60.00 60.00 60.00
Last column: magnetic moment on the atom in μB.
Fractional coordinates of all 4 atoms:
Li (0.250, 0.250, 0.250)  0.05
Zn (0.750, 0.750, 0.750)  0.03
Nd (0.000, 0.000, 0.000)  0.22
Pu (0.500, 0.500, 0.500)  5.57

---

18.
VASP calculation (PBE) on a relaxed structure of RbLiNd2S4.

Values from the calculation:
Space group: Cmcm (63)
V in Å³/f.u.: 211
Uncorrected formation energy in eV/atom: -1.821

a b c (Å): 4.184 7.327 14.355
angles (deg): 90.00 90.00 106.59
Fractional coordinates of all 16 atoms:
Nd (0.634, 0.268, 0.440)
Nd (0.366, 0.732, 0.560)
Nd (0.634, 0.268, 0.060)
Nd (0.366, 0.732, 0.940)
S (0.259, 0.519, 0.392)
S (0.741, 0.481, 0.892)
S (0.741, 0.481, 0.608)
S (0.000, 0.000, 0.500)
S (0.581, 0.162, 0.250)
S (0.419, 0.838, 0.750)
S (0.259, 0.519, 0.108)
S (0.000, 0.000, 0.000)
Li (0.168, 0.336, 0.250)
Li (0.832, 0.664, 0.750)
Rb (0.895, 0.789, 0.250)
Rb (0.105, 0.211, 0.750)

---

19.
VASP calculation (PBE) on a relaxed structure of RbLiNdSe2.

Values from the calculation:
Space group: Cmme (67)
V in Å³/f.u.: 170
Uncorrected formation energy in eV/atom: -1.146

a b c (Å): 6.655 6.690 8.350
angles (deg): 113.61 90.00 90.00
Last column: magnetic moment on the atom in μB.
Fractional coordinates of all 10 atoms:
Nd (0.500, 0.250, 0.000)  0.09
Nd (0.500, 0.750, 0.000)  0.09
Rb (0.772, 0.250, 0.500)  0.01
Rb (0.228, 0.750, 0.500)  0.01
Se (0.746, 0.614, 0.228)  0.00
Se (0.254, 0.114, 0.228)  0.00
Se (0.254, 0.386, 0.772)  0.00
Se (0.746, 0.886, 0.772)  0.00
Li (0.000, 0.500, 0.000)  0.01
Li (0.000, 0.000, 0.000)  0.01

---

20.
VASP calculation (PBE) on a relaxed structure of RbLiNd2Se4.

Values from the calculation:
Space group: Cmcm (63)
V in Å³/f.u.: 237
Uncorrected formation energy in eV/atom: -1.706

a b c (Å): 4.339 7.599 14.971
angles (deg): 90.00 90.00 106.59
Fractional coordinates of all 16 atoms:
Nd (0.634, 0.268, 0.061)
Nd (0.366, 0.732, 0.561)
Nd (0.366, 0.732, 0.939)
Nd (0.634, 0.268, 0.439)
Se (0.000, 0.000, 0.000)
Se (0.262, 0.524, 0.391)
Se (0.576, 0.152, 0.250)
Se (0.738, 0.476, 0.609)
Se (0.738, 0.476, 0.891)
Se (0.000, 0.000, 0.500)
Se (0.424, 0.848, 0.750)
Se (0.262, 0.524, 0.109)
Rb (0.893, 0.786, 0.250)
Rb (0.107, 0.214, 0.750)
Li (0.834, 0.669, 0.750)
Li (0.166, 0.331, 0.250)

---

Number 1: energy -6.29 eV/atom. Number 2: energy -7.29 eV/atom. Number 3: energy -7.12 eV/atom. Number 4: energy -6.93 eV/atom. Number 5: energy -6.58 eV/atom. Number 6: energy -6.21 eV/atom. Number 7: energy -8.23 eV/atom. Number 8: energy -7.89 eV/atom. Number 9: energy -6.75 eV/atom. Number 10: energy -7.66 eV/atom. Number 11: energy -5.58 eV/atom. Number 12: energy -6.08 eV/atom. Number 13: energy -7.16 eV/atom. Number 14: energy -5.23 eV/atom. Number 15: energy -6.85 eV/atom. Number 16: energy -6.84 eV/atom. Number 17: energy -5.49 eV/atom. Number 18: energy -5.44 eV/atom. Number 19: energy -4.07 eV/atom. Number 20: energy -5.00 eV/atom.